Crystalline Nd3Dy2Tl2 at its relaxed geometry, computed with GGA-PBE.

Output
E above lowest polymorph (meV per atom): 90
Energy of formation from the pure elements (meV/atom): -105
Space-group type: Cmmm, No. 65

a = 5.0010 Å, b = 3.5633 Å, c = 12.3517 Å
α = 90.00°, β = 78.32°, γ = 90.00°
With the nearest neighbours (Å) after each atom.
Atoms (fractional coordinates):
1 Dy 0.7129 0.5000 0.5741  2 Dy 3.08, 1 Tl 3.39
2 Dy 0.2871 0.5000 0.4259  2 Dy 3.08, 1 Tl 3.39
3 Tl 0.4271 0.5000 0.1459  1 Dy 3.39, 8 Nd 3.52-3.54, 3 Tl 3.53-3.56
4 Tl 0.5729 0.5000 0.8541  1 Dy 3.39, 8 Nd 3.52-3.54, 3 Tl 3.53-3.56
5 Nd 0.8561 0.0000 0.2878  3 Nd 3.48-3.56, 6 Dy 3.50-3.89, 4 Tl 3.52
6 Nd 0.0000 0.0000 0.0000  4 Nd 3.48-3.56, 8 Tl 3.54
7 Nd 0.1439 0.0000 0.7122  3 Nd 3.48-3.56, 6 Dy 3.50-3.89, 4 Tl 3.52